1 | Entry from Alexandria via LeMat-Bulk: As2PCl after structural relaxation (PBE).

Output
volume = 25.16 Å³/atom

Lattice parameters (Å, degrees): 3.5240 3.5240 8.1053 90.00 90.00 90.00
Last column: nearest neighbours and their distance in Å.
Fractional positions:
As (0.0000, 0.0000, 0.8459)  1 Cl 2.22
As (0.5000, 0.5000, 0.1808)  1 P 2.27
Cl (0.0000, 0.0000, 0.5721)  1 As 2.22
P (0.5000, 0.5000, 0.9012)  5 As 2.27-2.53



2 | Entry from Alexandria via LeMat-Bulk: As2PCl after structural relaxation (PBE).

Output
volume = 20.14 Å³/atom

Lattice parameters (Å, degrees): 3.8780 6.3736 5.3559 37.48 90.00 90.00
Last column: nearest neighbours and their distance in Å.
Fractional positions:
As (0.0000, 0.0000, 0.0000)  2 P 2.68, 4 Cl 2.75
As (0.5000, 0.5000, 0.0000)  2 Cl 2.68, 4 P 2.75
Cl (0.5000, 0.5000, 0.5000)  6 As 2.68-2.75
P (0.0000, 0.0000, 0.5000)  6 As 2.68-2.75



3 | Entry from Alexandria via LeMat-Bulk: As2PCl after structural relaxation (PBE).

Output
volume = 20.52 Å³/atom

Lattice parameters (Å, degrees): 3.5487 6.1409 3.7670 90.00 90.00 90.00
Last column: nearest neighbours and their distance in Å.
Fractional positions:
As (0.0000, 0.0000, 0.0000)  4 Cl 2.59
As (0.5000, 0.5000, 0.0000)  4 P 2.59
Cl (0.5000, 0.0000, 0.5000)  4 As 2.59
P (0.0000, 0.5000, 0.5000)  4 As 2.59



4 | Entry from Alexandria via LeMat-Bulk: As2PCl after structural relaxation (PBE).

Output
volume = 23.43 Å³/atom

Lattice parameters (Å, degrees): 3.2597 3.2597 10.2517 90.00 90.00 120.63
Last column: nearest neighbours and their distance in Å.
Fractional positions:
As (0.0000, 0.0000, 0.9680)  2 P 2.31
As (0.5000, 0.5000, 0.2677)  2 Cl 2.53
Cl (0.0000, 0.0000, 0.4576)  2 As 2.53
P (0.5000, 0.5000, 0.8067)  2 As 2.31



Quick one: least stable of them? 3